! VSnGeO6 | the Alexandria database | PBE+U | relaxed; values from VASP
&SYSTEM
  ibrav = 0, nat = 18, ntyp = 4
/
ATOMIC_SPECIES
V 50.94 V.upf
Sn 118.71 Sn.upf
Ge 72.64 Ge.upf
O 16.00 O.upf
CELL_PARAMETERS angstrom
4.606 0.000 0.000
0.000 4.606 0.000
0.000 0.000 9.207
ATOMIC_POSITIONS angstrom
V 0.000 0.000 0.000
V 2.303 2.303 4.603
Sn 0.000 0.000 6.137
Sn 2.303 2.303 1.534
Ge 0.000 0.000 3.062
Ge 2.303 2.303 7.666
O 0.843 0.843 1.554
O 0.920 0.920 4.502
O 0.939 0.939 7.729
O 1.364 3.242 3.126
O 1.383 3.223 9.106
O 1.460 3.146 6.157
O 3.146 1.460 6.157
O 3.223 1.383 9.106
O 3.242 1.364 3.126
O 3.666 3.666 7.729
O 3.685 3.685 4.502
O 3.762 3.762 1.554
! Total moment: 0.11 μB per atom
! DFT total energy: -6.83 eV per atom
! SG: No. 102
! Crystal system: tetragonal
! Density of states at the Fermi level: 0.000 states/eV per cell